Entry 1:
Below is a relaxed BaAs2Rh crystal, with properties calculated at the GGA-PBEsol level.

Cell lengths 4.2303, 4.2303, 6.2389 Å; angles 70.18, 70.18, 60.00 degrees
Positions (direct):
Ba (0.5000, 0.5000, 0.5000)
As (0.7096, 0.7096, 0.8713)
As (0.2904, 0.2904, 0.1287)
Rh (0.0000, 0.0000, 0.0000)

Output
**SG**: R-3m (166)
**Formation energy from the elements**: -74 kJ/mol of atoms

---

Entry 2:
Below is a relaxed Na2SiC crystal, with properties calculated at the GGA-PBEsol level.

Cell lengths 3.6006, 7.5166, 7.5166 Å; angles 86.71, 76.14, 76.14 degrees
Positions (direct):
C (0.5000, 0.0000, 0.0000)
C (0.2500, 0.5000, 0.5000)
Na (0.3750, 0.2591, 0.2409)
Na (0.3659, 0.7591, 0.2591)
Na (0.8750, 0.7409, 0.7591)
Na (0.3841, 0.2409, 0.7409)
Si (0.0000, 0.0000, 0.0000)
Si (0.7500, 0.5000, 0.5000)

Output
**Energy relative to the lowest polymorph listed for this composition**: 0.0 meV/atom
**SG**: I-42d (122)
**Uncorrected formation energy**: 0.58 eV per atom

---

Entry 3:
Below is a relaxed YMgCd crystal, with properties calculated at the GGA-PBEsol level.

Cell lengths 3.4053, 4.9564, 4.9564 Å; angles 120.00, 90.00, 90.00 degrees
Positions (direct):
Mg (0.0000, 0.3333, 0.6667)
Y (0.5000, 0.6667, 0.3333)
Cd (0.0000, 0.0000, 0.0000)

Output
**SG**: P-6m2 (187)
**Formation energy from the elements**: -24 kJ/mol of atoms

---

Entry 4:
Below is a relaxed AlCrAs crystal, with properties calculated at the GGA-PBEsol level.

Cell lengths 3.1733, 4.0157, 4.0157 Å; angles 120.00, 90.00, 90.00 degrees
Each line ends with the local moment (μB).
Positions (direct):
Cr (0.0000, 0.6667, 0.3333)  0.51
As (0.0000, 0.3333, 0.6667)  -0.03
Al (0.5000, 0.0000, 0.0000)  -0.01

Output
**Energy relative to the lowest polymorph listed for this composition**: 366.3 meV/atom
**SG**: P-6m2 (187)
**Formation energy from the elements**: 16 kJ/mol of atoms